# BaPmTh

An optimized crystal structure of BaPmTh (GGA-PBE, the Alexandria database).

Cell: 14.754 14.754 14.754 Å, 163.13 163.13 23.95°
Fractional coordinates of all 6 atoms:
Ba  0.075  0.075  0.000
Ba  0.925  0.925  0.000
Pm  0.336  0.336  0.000
Pm  0.664  0.664  0.000
Th  0.221  0.221  0.000
Th  0.779  0.779  0.000

Computed properties:
energy of formation = 0.174 eV/atom
V = 45.1 A^3/atom
ρ = 6317 kg/m³
symmetry = I4/mmm
final energy = -4.524 eV/atom
crystal system = tetragonal